VASP calculation (PBE-GGA) on TaHSe after structural relaxation.

## Properties
- space group = No. 8
- D(E_F) (states/eV per cell) = 4.837
- magnetic moment (μB per formula unit) = 0.000
- VASP energy (eV/atom) = -6.420

Cell: 6.5439 7.5414 7.5414 Å, 95.49 91.54 91.54°
Last column: nearest neighbours and their distance in Å.
Fractional positions:
1 Se 0.8476 0.0684 0.3512  2 Ta 2.46-2.68, 1 H 2.57
2 Se 0.3489 0.1094 0.4328  5 Ta 2.66-2.78, 3 H 2.68-2.86
3 Se 0.3489 0.4328 0.1094  5 Ta 2.66-2.78, 3 H 2.68-2.86
4 Se 0.6679 0.3679 0.6828  3 Ta 2.53-2.66, 2 H 2.60-2.81
5 Se 0.8476 0.3512 0.0684  2 Ta 2.46-2.68, 1 H 2.57
6 Se 0.1699 0.9845 0.9845  5 Ta 2.69-2.89, 4 H 2.83-2.95
7 Se 0.8099 0.7847 0.7847  2 Ta 2.65, 5 H 2.72-2.87
8 Se 0.6679 0.6828 0.3679  3 Ta 2.53-2.66, 2 H 2.60-2.81
9 H 0.5648 0.0786 0.8742  2 Ta 1.87-1.96
10 H 0.4049 0.8644 0.6684  2 Ta 1.86-1.87
11 H 0.0852 0.3442 0.8027  3 Ta 1.94-2.01
12 H 0.9600 0.5385 0.5385  2 Ta 1.86, 1 H 2.06
13 H 0.2387 0.4503 0.4503  3 Ta 1.93-2.04, 1 H 2.06
14 H 0.4049 0.6684 0.8644  2 Ta 1.86-1.87
15 H 0.5648 0.8742 0.0786  2 Ta 1.87-1.96
16 H 0.0852 0.8027 0.3442  3 Ta 1.94-2.01
17 Ta 0.3463 0.2273 0.7937  2 H 1.94-1.96
18 Ta 0.4243 0.6174 0.6174  3 H 1.87-2.04
19 Ta 0.5401 0.1210 0.1210  2 H 1.87
20 Ta 0.1306 0.6051 0.8822  2 H 1.86-2.01
21 Ta 0.1306 0.8822 0.6051  2 H 1.86-2.01
22 Ta 0.0324 0.5480 0.3024  3 H 1.86-1.94
23 Ta 0.0324 0.3024 0.5480  3 H 1.86-1.94
24 Ta 0.3463 0.7937 0.2273  2 H 1.94-1.96